Entry 1:
Crystalline LaWBr2 at its relaxed geometry, computed with PBEsol.

abc: 5.0129 5.0129 5.0129
angles: 60.00 60.00 60.00
Closest atoms and distances in Å follow each position.
Element x y z (fractional)
La: 0.0000 0.0000 0.0000  8 Br 3.07
W: 0.5000 0.5000 0.5000  8 Br 3.07
Br: 0.2500 0.2500 0.2500  4 La 3.07, 4 W 3.07
Br: 0.7500 0.7500 0.7500  4 La 3.07, 4 W 3.07

Results
volume = 22.3 Å³/atom
formation energy (no corrections) = 127 kJ/mol of formula units
M_tot = 2.74 μB per formula unit
symmetry = No. 225



Entry 2:
Crystalline LaWBr at its relaxed geometry, computed with PBEsol.

abc: 6.4712 6.4712 6.4712
angles: 150.78 150.78 41.79
Closest atoms and distances in Å follow each position.
Element x y z (fractional)
La: 0.0000 0.0000 0.0000  4 W 3.19, 4 La 3.26, 5 Br 3.40-3.55
W: 0.6817 0.6817 0.0000  4 Br 2.68
Br: 0.2939 0.2939 0.0000  4 W 2.68

Results
volume = 21.5 Å³/atom
formation energy (no corrections) = 146 kJ/mol of formula units
M_tot = 0.00 μB per formula unit
symmetry = No. 107



no.,calculated density (Mg/m³)
1,9.0
2,10.4